# 1
A plane-wave DFT calculation with PBE was carried out for a relaxed CeThC2 crystal.

- Energy relative to the elements: 83 meV per atom
- Symmetry: Pnnm, No. 58
- Energy above the most stable polymorph in this dataset: 0.243 eV/atom

Cell and atoms, written as CIF:
```
data_CeThC2
_symmetry_space_group_name_H-M 'P 1'
_symmetry_Int_Tables_number 1
_symmetry_space_group_name_Hall 'P 1'
_cell_length_a 3.6444
_cell_length_b 6.3207
_cell_length_c 6.3001
_cell_angle_alpha 90.00
_cell_angle_beta 90.00
_cell_angle_gamma 90.00
loop_
_atom_site_label
_atom_site_type_symbol
_atom_site_fract_x
_atom_site_fract_y
_atom_site_fract_z
_atom_site_occupancy
Ce1 Ce 0.5000 0.5000 0.5000 1
Ce2 Ce 0.0000 0.0000 0.0000 1
Th1 Th 0.0000 0.5000 0.0000 1
Th2 Th 0.5000 0.0000 0.5000 1
C1 C 0.0000 0.2518 0.3341 1
C2 C 0.0000 0.7482 0.6659 1
C3 C 0.5000 0.2482 0.8341 1
C4 C 0.5000 0.7518 0.1659 1
```



# 2
A plane-wave DFT calculation with PBE was carried out for a relaxed CeThC crystal.

- Energy relative to the elements: 159 meV per atom
- Symmetry: F-43m, No. 216
- Energy above the most stable polymorph in this dataset: 0.314 eV/atom

Cell and atoms, written as CIF:
```
data_CeThC
_symmetry_space_group_name_H-M 'P 1'
_symmetry_Int_Tables_number 1
_symmetry_space_group_name_Hall 'P 1'
_cell_length_a 4.4088
_cell_length_b 4.4088
_cell_length_c 4.4088
_cell_angle_alpha 60.00
_cell_angle_beta 60.00
_cell_angle_gamma 60.00
loop_
_atom_site_label
_atom_site_type_symbol
_atom_site_fract_x
_atom_site_fract_y
_atom_site_fract_z
_atom_site_occupancy
C1 C 0.2500 0.2500 0.2500 1
Ce1 Ce 0.0000 0.0000 0.0000 1
Th1 Th 0.5000 0.5000 0.5000 1
```



# 3
A plane-wave DFT calculation with PBE was carried out for a relaxed CeThC3 crystal.

- Energy relative to the elements: 217 meV per atom
- Symmetry: Pmma, No. 51

Cell and atoms, written as CIF:
```
data_CeThC3
_symmetry_space_group_name_H-M 'P 1'
_symmetry_Int_Tables_number 1
_symmetry_space_group_name_Hall 'P 1'
_cell_length_a 3.4814
_cell_length_b 6.6283
_cell_length_c 7.3330
_cell_angle_alpha 90.00
_cell_angle_beta 90.00
_cell_angle_gamma 90.00
loop_
_atom_site_label
_atom_site_type_symbol
_atom_site_fract_x
_atom_site_fract_y
_atom_site_fract_z
_atom_site_occupancy
Ce1 Ce 0.5000 0.2500 0.2430 1
Ce2 Ce 0.5000 0.7500 0.7570 1
Th1 Th 0.0000 0.2500 0.8198 1
Th2 Th 0.0000 0.7500 0.1802 1
C1 C 0.5000 0.4445 0.5731 1
C2 C 0.5000 0.0000 0.0000 1
C3 C 0.5000 0.0555 0.5731 1
C4 C 0.5000 0.5555 0.4269 1
C5 C 0.5000 0.5000 0.0000 1
C6 C 0.5000 0.9445 0.4269 1
```



# 4
A plane-wave DFT calculation with PBE was carried out for a relaxed CeTh3C4 crystal.

- Energy relative to the elements: -219 meV per atom
- Symmetry: Pm-3m, No. 221
- Energy above the most stable polymorph in this dataset: 0.000 eV/atom

Cell and atoms, written as CIF:
```
data_CeTh3C4
_symmetry_space_group_name_H-M 'P 1'
_symmetry_Int_Tables_number 1
_symmetry_space_group_name_Hall 'P 1'
_cell_length_a 5.3192
_cell_length_b 5.3192
_cell_length_c 5.3192
_cell_angle_alpha 90.00
_cell_angle_beta 90.00
_cell_angle_gamma 90.00
loop_
_atom_site_label
_atom_site_type_symbol
_atom_site_fract_x
_atom_site_fract_y
_atom_site_fract_z
_atom_site_occupancy
C1 C 0.5000 0.0000 0.0000 1
C2 C 0.0000 0.5000 0.0000 1
C3 C 0.0000 0.0000 0.5000 1
C4 C 0.5000 0.5000 0.5000 1
Th1 Th 0.0000 0.5000 0.5000 1
Th2 Th 0.5000 0.0000 0.5000 1
Th3 Th 0.5000 0.5000 0.0000 1
Ce1 Ce 0.0000 0.0000 0.0000 1
```



# 5
A plane-wave DFT calculation with PBE was carried out for a relaxed CeTh3C4 crystal.

- Energy relative to the elements: -216 meV per atom
- Symmetry: Cmmm, No. 65
- Energy above the most stable polymorph in this dataset: 0.003 eV/atom

Cell and atoms, written as CIF:
```
data_CeTh3C4
_symmetry_space_group_name_H-M 'P 1'
_symmetry_Int_Tables_number 1
_symmetry_space_group_name_Hall 'P 1'
_cell_length_a 3.7622
_cell_length_b 6.4901
_cell_length_c 6.4901
_cell_angle_alpha 109.17
_cell_angle_beta 90.00
_cell_angle_gamma 90.00
loop_
_atom_site_label
_atom_site_type_symbol
_atom_site_fract_x
_atom_site_fract_y
_atom_site_fract_z
_atom_site_occupancy
Ce1 Ce 0.5000 0.0000 0.0000 1
Th1 Th 0.0000 0.0000 0.5000 1
Th2 Th 0.5000 0.5000 0.5000 1
Th3 Th 0.0000 0.5000 0.0000 1
C1 C 0.0000 0.2479 0.2479 1
C2 C 0.5000 0.7515 0.2485 1
C3 C 0.0000 0.7521 0.7521 1
C4 C 0.5000 0.2485 0.7515 1
```



# 6
A plane-wave DFT calculation with PBE was carried out for a relaxed CeTh4C4 crystal.

- Energy relative to the elements: -243 meV per atom
- Symmetry: I4/m, No. 87
- Energy above the most stable polymorph in this dataset: 0.000 eV/atom

Cell and atoms, written as CIF:
```
data_CeTh4C4
_symmetry_space_group_name_H-M 'P 1'
_symmetry_Int_Tables_number 1
_symmetry_space_group_name_Hall 'P 1'
_cell_length_a 5.3328
_cell_length_b 6.4742
_cell_length_c 6.4740
_cell_angle_alpha 80.24
_cell_angle_beta 65.68
_cell_angle_gamma 65.68
loop_
_atom_site_label
_atom_site_type_symbol
_atom_site_fract_x
_atom_site_fract_y
_atom_site_fract_z
_atom_site_occupancy
Ce1 Ce 0.0000 0.0000 0.0000 1
Th1 Th 0.6038 0.5902 0.2023 1
Th2 Th 0.3962 0.4098 0.7977 1
Th3 Th 0.1940 0.2021 0.4098 1
Th4 Th 0.8060 0.7979 0.5902 1
C1 C 0.9106 0.3865 0.7923 1
C2 C 0.0894 0.6135 0.2077 1
C3 C 0.2971 0.7923 0.6135 1
C4 C 0.7029 0.2077 0.3865 1
```



# 7
A plane-wave DFT calculation with PBE was carried out for a relaxed Ce2Th5C4 crystal.

- Energy relative to the elements: -28 meV per atom
- Symmetry: C2/m, No. 12

Cell and atoms, written as CIF:
```
data_Ce2Th5C4
_symmetry_space_group_name_H-M 'P 1'
_symmetry_Int_Tables_number 1
_symmetry_space_group_name_Hall 'P 1'
_cell_length_a 3.5998
_cell_length_b 8.8160
_cell_length_c 8.8633
_cell_angle_alpha 91.77
_cell_angle_beta 101.72
_cell_angle_gamma 90.00
loop_
_atom_site_label
_atom_site_type_symbol
_atom_site_fract_x
_atom_site_fract_y
_atom_site_fract_z
_atom_site_occupancy
Ce1 Ce 0.4618 0.3625 0.9237 1
Ce2 Ce 0.5382 0.6375 0.0763 1
Th1 Th 0.8100 0.1815 0.6201 1
Th2 Th 0.1900 0.8185 0.3799 1
Th3 Th 0.8309 0.5944 0.6618 1
Th4 Th 0.5000 0.0000 0.0000 1
Th5 Th 0.1691 0.4056 0.3382 1
C1 C 0.3144 0.3863 0.6288 1
C2 C 0.9459 0.1661 0.8918 1
C3 C 0.6856 0.6137 0.3712 1
C4 C 0.0541 0.8339 0.1082 1
```



# 8
A plane-wave DFT calculation with PBE was carried out for a relaxed CeThC crystal.

- Energy relative to the elements: -153 meV per atom
- Symmetry: Pmmn, No. 59
- Energy above the most stable polymorph in this dataset: 0.003 eV/atom

Cell and atoms, written as CIF:
```
data_CeThC
_symmetry_space_group_name_H-M 'P 1'
_symmetry_Int_Tables_number 1
_symmetry_space_group_name_Hall 'P 1'
_cell_length_a 3.5740
_cell_length_b 5.3264
_cell_length_c 14.9403
_cell_angle_alpha 90.00
_cell_angle_beta 90.00
_cell_angle_gamma 90.00
loop_
_atom_site_label
_atom_site_type_symbol
_atom_site_fract_x
_atom_site_fract_y
_atom_site_fract_z
_atom_site_occupancy
Ce1 Ce 0.7500 0.2499 0.5746 1
Ce2 Ce 0.7500 0.2501 0.0746 1
Ce3 Ce 0.2500 0.7501 0.4254 1
Ce4 Ce 0.2500 0.7499 0.9254 1
Th1 Th 0.7500 0.2502 0.3099 1
Th2 Th 0.2500 0.7502 0.1901 1
Th3 Th 0.7500 0.2498 0.8099 1
Th4 Th 0.2500 0.7498 0.6901 1
C1 C 0.7500 0.7502 0.3125 1
C2 C 0.2500 0.2498 0.6875 1
C3 C 0.7500 0.7498 0.8125 1
C4 C 0.2500 0.2502 0.1875 1
```



# 9
A plane-wave DFT calculation with PBE was carried out for a relaxed CeTh2C3 crystal.

- Energy relative to the elements: -81 meV per atom
- Symmetry: Cmc2_1, No. 36
- Energy above the most stable polymorph in this dataset: 0.118 eV/atom

Cell and atoms, written as CIF:
```
data_CeTh2C3
_symmetry_space_group_name_H-M 'P 1'
_symmetry_Int_Tables_number 1
_symmetry_space_group_name_Hall 'P 1'
_cell_length_a 5.7655
_cell_length_b 7.2552
_cell_length_c 7.2552
_cell_angle_alpha 120.28
_cell_angle_beta 90.00
_cell_angle_gamma 90.00
loop_
_atom_site_label
_atom_site_type_symbol
_atom_site_fract_x
_atom_site_fract_y
_atom_site_fract_z
_atom_site_occupancy
Ce1 Ce 0.0256 0.8359 0.8359 1
Ce2 Ce 0.5256 0.1641 0.1641 1
Th1 Th 0.5272 0.8343 0.5042 1
Th2 Th 0.0272 0.4958 0.1657 1
Th3 Th 0.5272 0.5042 0.8343 1
Th4 Th 0.0272 0.1657 0.4958 1
C1 C 0.9653 0.8333 0.5035 1
C2 C 0.4653 0.4965 0.1667 1
C3 C 0.9653 0.5035 0.8333 1
C4 C 0.4653 0.1667 0.4965 1
C5 C 0.4473 0.8380 0.8380 1
C6 C 0.9473 0.1620 0.1620 1
```



# 10
A plane-wave DFT calculation with PBE was carried out for a relaxed Ce2ThC crystal.

- Energy relative to the elements: -61 meV per atom
- Symmetry: R3m, No. 160
- Energy above the most stable polymorph in this dataset: 0.000 eV/atom

Cell and atoms, written as CIF:
```
data_Ce2ThC
_symmetry_space_group_name_H-M 'P 1'
_symmetry_Int_Tables_number 1
_symmetry_space_group_name_Hall 'P 1'
_cell_length_a 3.5472
_cell_length_b 3.5472
_cell_length_c 9.1084
_cell_angle_alpha 78.77
_cell_angle_beta 78.77
_cell_angle_gamma 60.00
loop_
_atom_site_label
_atom_site_type_symbol
_atom_site_fract_x
_atom_site_fract_y
_atom_site_fract_z
_atom_site_occupancy
Ce1 Ce 0.0540 0.0540 0.8379 1
Ce2 Ce 0.2786 0.2786 0.1642 1
Th1 Th 0.5009 0.5009 0.4973 1
C1 C 0.6665 0.6665 0.0005 1
```